No. 1
Compound: SmHoRu
Source: Alexandria
Functional: PBE-GGA
Structure: relaxed

The structure in CIF format:
```
data_SmHoRu
_cell_length_a 7.5905
_cell_length_b 4.3751
_cell_length_c 13.2635
_cell_angle_alpha 90.00
_cell_angle_beta 90.90
_cell_angle_gamma 90.00
_space_group_name_H-M_alt 'P 1 21/m 1'
_space_group_IT_number 11
_space_group_name_Hall '-P 2yb'
loop_
_atom_site_label
_atom_site_type_symbol
_atom_site_fract_x
_atom_site_fract_y
_atom_site_fract_z
_atom_site_occupancy
Sm1 Sm 0.0232 0.2500 0.2122 1
Sm2 Sm 0.3601 0.7500 0.5815 1
Sm3 Sm 0.4719 0.7500 0.8815 1
Ho1 Ho 0.0174 0.2500 0.5920 1
Ho2 Ho 0.1500 0.2500 0.9574 1
Ho3 Ho 0.3658 0.7500 0.2926 1
Ru1 Ru 0.2363 0.2500 0.4137 1
Ru2 Ru 0.2383 0.7500 0.0832 1
Ru3 Ru 0.2719 0.2500 0.7513 1
```

Output
ΔE to the lowest computed polymorph in eV/atom: 0.000
Calculated formation energy in eV/atom: -0.297

---

No. 2
Compound: CuBi2S4
Source: Alexandria
Functional: PBE-GGA
Structure: relaxed

The structure in CIF format:
```
data_CuBi2S4
_cell_length_a 13.0377
_cell_length_b 4.1108
_cell_length_c 13.5916
_cell_angle_alpha 90.00
_cell_angle_beta 90.00
_cell_angle_gamma 90.00
_space_group_name_H-M_alt 'P n m a'
_space_group_IT_number 62
_space_group_name_Hall '-P 2ac 2n'
loop_
_atom_site_label
_atom_site_type_symbol
_atom_site_fract_x
_atom_site_fract_y
_atom_site_fract_z
_atom_site_occupancy
Cu1 Cu 0.1509 0.2500 0.1234 1
Bi1 Bi 0.1165 0.2500 0.4322 1
Bi2 Bi 0.1205 0.2500 0.8173 1
S1 S 0.0132 0.7500 0.9035 1
S2 S 0.0205 0.2500 0.6235 1
S3 S 0.2362 0.2500 0.2616 1
S4 S 0.2418 0.2500 0.9847 1
```

Output
ΔE to the lowest computed polymorph in eV/atom: 0.000
Uncorrected formation energy in eV/f.u.: -1.56

---

No. 3
Compound: Tm4TlNi
Source: Alexandria
Functional: PBE-GGA
Structure: relaxed

The structure in CIF format:
```
data_Tm4TlNi
_cell_length_a 5.4947
_cell_length_b 6.8678
_cell_length_c 8.3352
_cell_angle_alpha 90.00
_cell_angle_beta 102.94
_cell_angle_gamma 90.00
_space_group_name_H-M_alt 'P 1 21/m 1'
_space_group_IT_number 11
_space_group_name_Hall '-P 2yb'
loop_
_atom_site_label
_atom_site_type_symbol
_atom_site_fract_x
_atom_site_fract_y
_atom_site_fract_z
_atom_site_occupancy
Tm1 Tm 0.1340 0.2500 0.0615 1
Tm2 Tm 0.2224 0.7500 0.3627 1
Tm3 Tm 0.3286 0.5070 0.7767 1
Tl1 Tl 0.2187 0.2500 0.4338 1
Ni1 Ni 0.3492 0.7500 0.0492 1
```

Output
ΔE to the lowest computed polymorph in eV/atom: 0.000
Calculated formation energy in eV/atom: -0.275

---

No. 4
Compound: CaBe2Re
Source: Alexandria
Functional: PBE-GGA
Structure: relaxed

The structure in CIF format:
```
data_CaBe2Re
_cell_length_a 3.6755
_cell_length_b 3.6755
_cell_length_c 8.6448
_cell_angle_alpha 90.00
_cell_angle_beta 90.00
_cell_angle_gamma 90.00
_space_group_name_H-M_alt 'I -4 m 2'
_space_group_IT_number 119
_space_group_name_Hall 'I -4 -2'
loop_
_atom_site_label
_atom_site_type_symbol
_atom_site_fract_x
_atom_site_fract_y
_atom_site_fract_z
_atom_site_occupancy
Ca1 Ca 0.0000 0.0000 0.0000 1
Be1 Be 0.0000 0.0000 0.5000 1
Be2 Be 0.0000 0.5000 0.2500 1
Re1 Re 0.0000 0.5000 0.7500 1
```

Output
ΔE to the lowest computed polymorph in eV/atom: 0.451
Calculated formation energy in eV/atom: 0.741

---

No. 5
Compound: Mn2Au
Source: Alexandria
Functional: PBE-GGA
Structure: relaxed

The structure in CIF format:
```
data_Mn2Au
_cell_length_a 3.5173
_cell_length_b 3.5173
_cell_length_c 13.7730
_cell_angle_alpha 90.00
_cell_angle_beta 90.00
_cell_angle_gamma 90.00
_space_group_name_H-M_alt 'I 41/a m d'
_space_group_IT_number 141
loop_
_space_group_symop_operation_xyz
'x,y,z'
'-x,-y,-z'
'-y+1/4,x+3/4,z+1/4'
'y+1/4,-x+3/4,-z+1/4'
'-x+1/2,-y,z+1/2'
'x+1/2,y,-z+1/2'
'y+1/4,-x+1/4,z+3/4'
'-y+1/4,x+1/4,-z+3/4'
'x,-y,-z'
'-x,y,z'
'-y+1/4,-x+1/4,-z+3/4'
'y+1/4,x+1/4,z+3/4'
'-x+1/2,y,-z+1/2'
'x+1/2,-y,z+1/2'
'y+1/4,x+3/4,-z+1/4'
'-y+1/4,-x+3/4,z+1/4'
'x+1/2,y+1/2,z+1/2'
'-x+1/2,-y+1/2,-z+1/2'
'-y+3/4,x+1/4,z+3/4'
'y+3/4,-x+1/4,-z+3/4'
'-x,-y+1/2,z'
'x,y+1/2,-z'
'y+3/4,-x+3/4,z+1/4'
'-y+3/4,x+3/4,-z+1/4'
'x+1/2,-y+1/2,-z+1/2'
'-x+1/2,y+1/2,z+1/2'
'-y+3/4,-x+3/4,-z+1/4'
'y+3/4,x+3/4,z+1/4'
'-x,y+1/2,-z'
'x,-y+1/2,z'
'y+3/4,x+1/4,-z+3/4'
'-y+3/4,-x+1/4,z+3/4'
loop_
_atom_site_label
_atom_site_type_symbol
_atom_site_fract_x
_atom_site_fract_y
_atom_site_fract_z
_atom_site_occupancy
Mn1 Mn 0.0000 0.2500 0.2916 1
Au1 Au 0.0000 0.2500 0.8750 1
```

Output
Calculated formation energy in eV/atom: 0.578

---

No. 6
Compound: CaZrCu2N
Source: Alexandria
Functional: PBE-GGA
Structure: relaxed

The structure in CIF format:
```
data_CaZrCu2N
_cell_length_a 4.7048
_cell_length_b 4.7048
_cell_length_c 4.2269
_cell_angle_alpha 90.00
_cell_angle_beta 90.00
_cell_angle_gamma 90.00
_space_group_name_H-M_alt 'P 4/m m m'
_space_group_IT_number 123
_space_group_name_Hall '-P 4 2'
loop_
_atom_site_label
_atom_site_type_symbol
_atom_site_fract_x
_atom_site_fract_y
_atom_site_fract_z
_atom_site_occupancy
Ca1 Ca 0.0000 0.0000 0.0000 1
Zr1 Zr 0.5000 0.5000 0.5000 1
Cu1 Cu 0.0000 0.5000 0.0000 1
N1 N 0.0000 0.0000 0.5000 1
```

Output
Uncorrected formation energy in eV/f.u.: 5.57

---

| no. | DFT total energy (eV/atom) | volume (Å³/atom) | DOS(E_F) (states/eV per cell) |
| --- | --- | --- | --- |
| 1 | -6.4876 | 24.468 | 7.46 |
| 2 | -4.2760 | 26.016 | 24.50 |
| 3 | -4.6138 | 25.546 | 12.73 |
| 4 | -4.7347 | 14.598 | 3.70 |
| 5 | -6.6277 | 14.200 | 10.19 |
| 6 | -4.2997 | 18.713 | 3.15 |